DFT (PBE-GGA) results for a relaxed structure of Ba2HgBiSe5.

Lattice parameters (Å, degrees): 4.391 19.812 12.920 90.00 90.00 90.00
Space group Cmc2_1 (No. 36)
Asymmetric unit:
Ba1 0.000 0.110 0.000
Ba2 0.000 0.125 0.620
Hg1 0.000 0.459 0.762
Bi1 0.000 0.219 0.323
Se1 0.000 0.059 0.372
Se2 0.000 0.278 0.979
Se3 0.000 0.293 0.665
Se4 0.000 0.360 0.313
Se5 0.000 0.497 0.074

Values from the calculation:
Its uncorrected energy is -34.69 eV per formula unit. The value obtained for the raw formation energy is -1.027 eV per atom. As for the size of the total moment: 0.00 μB/f.u.